{
  "formula": "Cs2Li2ZrSe4",
  "functional": "PBE-GGA",
  "state": "relaxed",
  "cell": [[-5.2385, 4.9577, -3.1068], [-0.0785, -4.2729, 6.5885], [2.6949, 4.8310, 3.1652]],
  "species": ["Se", "Zr", "Cs", "Li", "Se", "Se", "Cs", "Se", "Li"],
  "fractional_positions": [[0.6680, 0.8631, 0.7660], [0.0000, 0.0000, 0.0000], [0.5000, 0.0000, 0.2635], [0.0000, 0.0000, 0.5000], [0.1369, 0.3320, 0.2340], [0.8631, 0.6680, 0.2340], [0.0000, 0.5000, 0.7365], [0.3320, 0.1369, 0.7660], [0.5000, 0.5000, 0.0000]],
  "dft_energy_ev_per_atom": -4.450,
  "volume_a3_per_atom": 32.5,
  "space_group": "C222 (21)"
}